w | ZrTiAl3 after structural relaxation, computed with GGA-PBE.

Computed properties:
V, Å³/f.u.: 127.38

Lattice parameters (Å, degrees): 5.0315 5.0315 5.0315 90.00 90.00 90.00
Site moments in Bohr magnetons follow the coordinates.
Positions (direct):
1 Al 0.5000 0.0000 0.0000  0.02
2 Al 0.0000 0.0000 0.5000  0.01
3 Al 0.0000 0.5000 0.0000  0.03
4 Zr 0.0000 0.0000 0.0000  0.16
5 Ti 0.5000 0.5000 0.5000  -1.16

***

x | ZrTiAl3 after structural relaxation, computed with GGA-PBE.

Computed properties:
V, Å³/f.u.: 107.20

Lattice parameters (Å, degrees): 4.7505 4.7505 4.7505 90.00 90.00 90.00
Positions (direct):
1 Al 0.0000 0.0000 0.5000
2 Al 0.5000 0.0000 0.0000
3 Al 0.0000 0.5000 0.0000
4 Ti 0.0000 0.0000 0.0000
5 Zr 0.5000 0.5000 0.5000

***

Which of them is least stable? Easy: w.